Rb2CdAg2Br6: optimized geometry, PBE.

Cell: 14.4175 7.8957 7.8936 Å, 90.00 120.35 90.00°
Last column: nearest neighbours and their distance in Å.
Space group C2/m (No. 12)
Symmetry-distinct sites (fractional):
Rb: 0.2385 0.0000 0.1991  5 Br 3.45-3.59
Cd: 0.0000 0.0000 0.5000  6 Br 2.80-2.89
Ag: 0.0662 0.5000 0.2187  3 Br 2.60-2.65
Br: 0.0549 0.2411 0.7950  1 Ag 2.65, 1 Cd 2.80
Br: 0.2264 0.0000 0.6246  1 Ag 2.60, 1 Cd 2.89

Output
Crystal system   monoclinic
Raw formation energy   -0.97 eV per atom

Cs3ErU2Se6: optimized geometry, PBE.

Cell: 7.3842 12.7900 8.7714 Å, 90.00 106.30 90.00°
Last column: nearest neighbours and their distance in Å.
Space group C2/m (No. 12)
Symmetry-distinct sites (fractional):
Cs: 0.0000 0.0000 0.0000  6 Se 3.60-3.63
Cs: 0.0000 0.3332 0.0000  6 Se 3.60-3.63
Er: 0.0000 0.5000 0.5000  6 Se 2.90
U: 0.0000 0.1667 0.5000  6 Se 2.93
Se: 0.2270 0.3351 0.6864  1 Er 2.90, 2 U 2.93
Se: 0.2323 0.0000 0.6865  1 Er 2.90, 2 U 2.93

Output
Crystal system   monoclinic
Raw formation energy   -1.36 eV per atom

NdPH: optimized geometry, PBE.

Cell: 3.8656 3.8656 4.1483 Å, 90.00 90.00 120.00°
Last column: nearest neighbours and their distance in Å.
Space group P-6m2 (No. 187)
Symmetry-distinct sites (fractional):
Nd: 0.0000 0.0000 0.0000  3 H 2.23
P: 0.6667 0.3333 0.5000  6 Nd 3.05, 6 H 3.05
H: 0.3333 0.6667 0.0000  3 Nd 2.23

Output
Polymorph energy (0 for the lowest one)   162 meV per atom
Crystal system   hexagonal

LiSb2Cl: optimized geometry, PBE.

Cell: 4.0311 8.0141 9.5222 Å, 90.00 90.00 90.00°
Last column: nearest neighbours and their distance in Å.
Space group Imm2 (No. 44)
Symmetry-distinct sites (fractional):
Li: 0.0000 0.0000 0.0000  2 Cl 2.21
Sb: 0.0000 0.0000 0.4472  2 Sb 2.77
Sb: 0.0000 0.5000 0.1465  2 Sb 2.77
Cl: 0.0000 0.5000 0.5946  2 Li 2.21

Output
Polymorph energy (0 for the lowest one)   348 meV per atom
Crystal system   orthorhombic
Raw formation energy   -0.47 eV per atom

TlAgPb: optimized geometry, PBE.

Cell: 3.8589 6.0380 7.5459 Å, 76.15 75.68 72.24°
Last column: nearest neighbours and their distance in Å.
Space group P-1 (No. 2)
Symmetry-distinct sites (fractional):
Tl: 0.1632 0.2430 0.4479  3 Ag 3.02-3.15, 2 Tl 3.18-3.35
Ag: 0.1298 0.8961 0.8340  1 Ag 2.89, 3 Tl 3.02-3.15, 5 Pb 3.08-3.22
Pb: 0.4079 0.3330 0.8553  5 Ag 3.08-3.22

Output
Crystal system   triclinic
DFT formation energy   0.08 eV per atom

CdRe3As: optimized geometry, PBE.

Cell: 4.5788 4.5788 4.5788 Å, 90.00 90.00 90.00°
Last column: nearest neighbours and their distance in Å.
Space group Pm-3m (No. 221)
Symmetry-distinct sites (fractional):
Cd: 0.0000 0.0000 0.0000  12 Re 3.24
Re: 0.0000 0.5000 0.5000  2 As 2.29
As: 0.5000 0.5000 0.5000  6 Re 2.29

Output
Polymorph energy (0 for the lowest one)   0 meV per atom
Crystal system   cubic
DFT formation energy   1.56 eV per atom

Pr6Nd2Mg: optimized geometry, PBE.

Cell: 12.2897 6.4237 15.9393 Å, 90.00 94.75 90.00°
Last column: nearest neighbours and their distance in Å.
Space group C2/c (No. 15)
Symmetry-distinct sites (fractional):
Pr: 0.0579 0.1708 0.3588  3 Nd 3.59-3.68, 7 Pr 3.60-3.79, 2 Mg 3.65-3.73
Pr: 0.1137 0.3455 0.9686  9 Pr 3.58-3.83, 2 Nd 3.60-3.78, 1 Mg 3.65
Pr: 0.1602 0.1730 0.5843  8 Pr 3.58-3.83, 1 Mg 3.58, 3 Nd 3.65-3.77
Nd: 0.2264 0.3337 0.1966  2 Mg 3.57-3.65, 8 Pr 3.59-3.78, 2 Nd 3.66
Mg: 0.0000 0.3369 0.7500  4 Nd 3.57-3.65, 8 Pr 3.58-3.73

Output
Crystal system   monoclinic
DFT formation energy   0.01 eV per atom

Pm4Er3Sc5: optimized geometry, PBE.

Cell: 15.4971 5.7141 9.3372 Å, 90.00 119.68 90.00°
Last column: nearest neighbours and their distance in Å.
Space group C2/m (No. 12)
Symmetry-distinct sites (fractional):
Pm: 0.0897 0.0000 0.4510  5 Sc 3.29-3.51, 2 Pm 3.33-3.53, 1 Er 3.40
Pm: 0.2126 0.0000 0.8863  3 Er 3.38-3.48, 3 Pm 3.40-3.53, 4 Sc 3.56-3.71
Er: 0.0000 0.5000 0.0000  4 Sc 2.86-3.06
Er: 0.2284 0.0000 0.2608  5 Sc 3.08-3.29, 2 Pm 3.38-3.40
Sc: 0.0000 0.0000 0.0000  4 Er 2.86-3.15
Sc: 0.0601 0.5000 0.7024  2 Er 3.12-3.34, 2 Sc 3.25-3.28
Sc: 0.1659 0.5000 0.3602  4 Er 3.06-3.29, 1 Sc 3.25, 3 Pm 3.29-3.36

Output
Crystal system   monoclinic
DFT formation energy   0.24 eV per atom

Nd4Ho3Tl4: optimized geometry, PBE.

Cell: 3.6579 9.4758 19.4621 Å, 90.00 90.00 90.00°
Last column: nearest neighbours and their distance in Å.
Space group Immm (No. 71)
Symmetry-distinct sites (fractional):
Nd: 0.0000 0.1752 0.1615  4 Tl 3.30-3.33, 3 Nd 3.32-3.66
Ho: 0.0000 0.0000 0.4066  6 Tl 3.12-3.32
Ho: 0.0000 0.5000 0.5000  4 Tl 3.22
Tl: 0.0000 0.2801 0.0000  6 Ho 3.22-3.32, 2 Nd 3.30
Tl: 0.0000 0.5000 0.2234  2 Ho 3.12, 6 Nd 3.31-3.33

Output
Crystal system   orthorhombic
DFT formation energy   -0.25 eV per atom

CsNbCu2Br8: optimized geometry, PBE.

Cell: 6.5191 6.5191 35.2724 Å, 90.00 90.00 120.00°
Last column: nearest neighbours and their distance in Å.
Space group R32 (No. 155, hexagonal axes)
Symmetry-distinct sites (fractional):
Cs: 0.0000 0.0000 0.0000  6 Br 3.90
Nb: 0.0000 0.0000 0.5000  6 Br 2.59
Cu: 0.0000 0.0000 0.2386  4 Br 2.33-2.48
Br: 0.0000 0.0000 0.3045  1 Cu 2.33
Br: 0.0094 0.3087 0.5473  1 Cu 2.48, 1 Nb 2.59

Output
Crystal system   trigonal
Raw formation energy   -0.74 eV per atom

Ba2Tl3Sn: optimized geometry, PBE.

Cell: 12.8622 5.1374 8.3810 Å, 90.00 129.53 90.00°
Last column: nearest neighbours and their distance in Å.
Space group Cm (No. 8)
Symmetry-distinct sites (fractional):
Ba: 0.0000 0.0000 0.0000  8 Tl 3.61-4.04, 2 Sn 3.67
Ba: 0.1070 0.0000 0.6051  8 Tl 3.62-4.05, 3 Sn 3.66-3.78
Tl: 0.2131 0.5000 0.9854  3 Tl 3.14-3.23, 1 Sn 3.21
Tl: 0.2193 0.5000 0.3764  2 Sn 3.14, 1 Tl 3.23
Tl: 0.3865 0.0000 0.2228  2 Tl 3.14, 1 Sn 3.19
Sn: 0.3935 0.0000 0.6101  4 Tl 3.14-3.21

Output
Polymorph energy (0 for the lowest one)   0 meV per atom
Crystal system   monoclinic
DFT formation energy   -0.42 eV per atom

Ba2NaHoSe4: optimized geometry, PBE.

Cell: 7.6474 4.4412 7.7201 Å, 90.00 108.75 90.00°
Last column: nearest neighbours and their distance in Å.
Space group P2/m (No. 10)
Symmetry-distinct sites (fractional):
Ba: 0.0000 0.0000 0.0000  6 Se 3.21-3.22
Ba: 0.0000 0.5000 0.5000  6 Se 3.34-3.36
Na: 0.5000 0.0000 0.5000  6 Se 3.05-3.10
Ho: 0.5000 0.5000 0.0000  6 Se 2.89-2.98
Se: 0.2790 0.5000 0.2413  1 Ho 2.89, 2 Na 3.10, 2 Ba 3.22
Se: 0.2853 0.0000 0.7718  2 Ho 2.98, 1 Na 3.05, 1 Ba 3.21

Output
Crystal system   monoclinic
Raw formation energy   -1.79 eV per atom

ZrCd2Co: optimized geometry, PBE.

Cell: 3.1625 3.1625 7.3979 Å, 90.00 90.00 90.00°
Last column: nearest neighbours and their distance in Å.
Space group P4/mmm (No. 123)
Symmetry-distinct sites (fractional):
Zr: 0.0000 0.0000 0.0000  8 Cd 3.10, 4 Zr 3.16
Cd: 0.5000 0.5000 0.2898  4 Co 2.72
Co: 0.0000 0.0000 0.5000  8 Cd 2.72

Output
Polymorph energy (0 for the lowest one)   230 meV per atom
Crystal system   tetragonal
DFT formation energy   0.16 eV per atom

AgAu2Cl: optimized geometry, PBE.

Cell: 3.3475 3.3475 24.3810 Å, 90.00 90.00 120.00°
Last column: nearest neighbours and their distance in Å.
Space group R3m (No. 160, hexagonal axes)
Symmetry-distinct sites (fractional):
Ag: 0.0000 0.0000 0.0000  3 Cl 2.74, 3 Au 2.82
Au: 0.0000 0.0000 0.2492  3 Au 2.78, 3 Ag 2.82
Au: 0.0000 0.0000 0.5004  3 Au 2.78, 3 Cl 2.88
Cl: 0.0000 0.0000 0.7461  3 Ag 2.74, 3 Au 2.88

Output
Polymorph energy (0 for the lowest one)   83 meV per atom
Crystal system   trigonal
Raw formation energy   0.05 eV per atom

Mn2AlSb: optimized geometry, PBE.

Cell: 3.8279 3.8279 8.4501 Å, 90.00 90.00 90.00°
Last column: nearest neighbours and their distance in Å.
Space group I-4m2 (No. 119)
Symmetry-distinct sites (fractional):
Mn: 0.0000 0.0000 0.0000  4 Al 2.71, 4 Mn 2.85, 4 Sb 2.85
Mn: 0.0000 0.5000 0.2500  4 Sb 2.71, 4 Mn 2.85, 4 Al 2.85
Al: 0.0000 0.0000 0.5000  8 Mn 2.71-2.85, 4 Sb 2.85
Sb: 0.0000 0.5000 0.7500  8 Mn 2.71-2.85, 4 Al 2.85

Output
Polymorph energy (0 for the lowest one)   0 meV per atom
Crystal system   tetragonal
Raw formation energy   0.06 eV per atom

CuSNO2: optimized geometry, PBE.

Cell: 3.3804 3.3804 4.1762 Å, 90.00 90.00 90.00°
Last column: nearest neighbours and their distance in Å.
Space group P4/mmm (No. 123)
Symmetry-distinct sites (fractional):
Cu: 0.0000 0.0000 0.0000  4 N 2.39
S: 0.5000 0.5000 0.5000  4 O 1.69
N: 0.5000 0.5000 0.0000  2 S 2.09
O: 0.0000 0.5000 0.5000  2 S 1.69

Output
Crystal system   tetragonal
Raw formation energy   0.79 eV per atom

Tb3Er2Tm6Th: optimized geometry, PBE.

Cell: 6.0986 10.5603 11.6397 Å, 90.00 100.07 90.00°
Last column: nearest neighbours and their distance in Å.
Space group C2/m (No. 12)
Symmetry-distinct sites (fractional):
Tb: 0.0000 0.0000 0.0000  6 Tb 3.51-3.52, 6 Tm 3.52-3.54
Tb: 0.0000 0.3326 0.0000  6 Tb 3.51-3.54, 6 Tm 3.52-3.53
Er: 0.0000 0.1667 0.5000  6 Tm 3.51, 3 Th 3.52, 3 Er 3.52
Tm: 0.2467 0.5000 0.2513  6 Tm 3.49-3.54, 1 Th 3.49, 2 Er 3.51, 3 Tb 3.52-3.54
Tm: 0.2485 0.3349 0.7487  6 Tm 3.49-3.54, 1 Th 3.49, 2 Er 3.51, 3 Tb 3.52-3.53
Th: 0.0000 0.5000 0.5000  6 Tm 3.49, 6 Er 3.52

Output
Crystal system   monoclinic
DFT formation energy   0.02 eV per atom

Zr3SeBr: optimized geometry, PBE.

Cell: 5.0676 5.0676 5.0676 Å, 90.00 90.00 90.00°
Last column: nearest neighbours and their distance in Å.
Space group Pm-3m (No. 221)
Symmetry-distinct sites (fractional):
Zr: 0.0000 0.0000 0.5000  2 Se 2.53
Se: 0.0000 0.0000 0.0000  6 Zr 2.53
Br: 0.5000 0.5000 0.5000  12 Zr 3.58

Output
Polymorph energy (0 for the lowest one)   0 meV per atom
Crystal system   cubic
Raw formation energy   0.20 eV per atom

NaTbMgCd: optimized geometry, PBE.

Cell: 7.3372 7.3372 7.3372 Å, 90.00 90.00 90.00°
Last column: nearest neighbours and their distance in Å.
Space group F-43m (No. 216)
Symmetry-distinct sites (fractional):
Na: 0.0000 0.0000 0.0000  4 Tb 3.18, 4 Mg 3.18
Tb: 0.2500 0.2500 0.7500  4 Cd 3.18, 4 Na 3.18
Mg: 0.2500 0.2500 0.2500  4 Cd 3.18, 4 Na 3.18
Cd: 0.0000 0.0000 0.5000  4 Mg 3.18, 4 Tb 3.18

Output
Crystal system   cubic
DFT formation energy   -0.05 eV per atom

CsBiTeF: optimized geometry, PBE.

Cell: 4.8382 5.2082 11.6283 Å, 90.00 90.00 90.00°
Last column: nearest neighbours and their distance in Å.
Space group Amm2 (No. 38)
Symmetry-distinct sites (fractional):
Cs: 0.0000 0.0000 0.0000  2 F 3.25
Bi: 0.5000 0.0000 0.6936  2 F 2.44
Te: 0.5000 0.0000 0.3157  2 Bi 2.97
F: 0.0000 0.0000 0.6676  2 Bi 2.44

Output
Polymorph energy (0 for the lowest one)   49 meV per atom
Crystal system   orthorhombic
Raw formation energy   -1.20 eV per atom

CuOsRu2: optimized geometry, PBE.

Cell: 3.7558 3.7558 7.7420 Å, 90.00 90.00 90.00°
Last column: nearest neighbours and their distance in Å.
Space group I4/mmm (No. 139)
Symmetry-distinct sites (fractional):
Cu: 0.0000 0.0000 0.0000  4 Os 2.66, 8 Ru 2.70
Os: 0.0000 0.0000 0.5000  4 Cu 2.66, 8 Ru 2.70
Ru: 0.0000 0.5000 0.2500  4 Ru 2.66, 4 Cu 2.70, 4 Os 2.70

Output
Crystal system   tetragonal
DFT formation energy   0.30 eV per atom

CrCuPb4: optimized geometry, PBE.

Cell: 8.9758 8.9758 8.9758 Å, 90.00 90.00 90.00°
Last column: nearest neighbours and their distance in Å.
Space group F-43m (No. 216)
Symmetry-distinct sites (fractional):
Cr: 0.0000 0.0000 0.0000  12 Pb 3.72, 4 Cu 3.89
Cu: 0.2500 0.2500 0.7500  12 Pb 3.72, 4 Cr 3.89
Pb: 0.1250 0.1250 0.3750  6 Pb 3.17

Output
Crystal system   cubic
DFT formation energy   0.76 eV per atom

Si2PdBr: optimized geometry, PBE.

Cell: 5.7635 5.7635 12.3579 Å, 90.00 90.00 90.00°
Last column: nearest neighbours and their distance in Å.
Space group I-42d (No. 122)
Symmetry-distinct sites (fractional):
Si: 0.1593 0.2500 0.1250  2 Pd 2.30
Pd: 0.0000 0.0000 0.0000  4 Si 2.30
Br: 0.0000 0.0000 0.5000  4 Si 2.88

Output
Polymorph energy (0 for the lowest one)   0 meV per atom
Crystal system   tetragonal
Raw formation energy   0.21 eV per atom

ScV2Re: optimized geometry, PBE.

Cell: 3.0758 3.0758 6.7590 Å, 90.00 90.00 90.00°
Last column: nearest neighbours and their distance in Å.
Space group P4/mmm (No. 123)
Symmetry-distinct sites (fractional):
Sc: 0.0000 0.0000 0.0000  8 V 2.92, 4 Sc 3.08
V: 0.5000 0.5000 0.2875  4 Re 2.61, 1 V 2.87, 4 Sc 2.92
Re: 0.0000 0.0000 0.5000  8 V 2.61

Output
Polymorph energy (0 for the lowest one)   0 meV per atom
Crystal system   tetragonal
DFT formation energy   0.00 eV per atom

YGa3N: optimized geometry, PBE.

Cell: 4.4734 4.4734 4.4734 Å, 90.00 90.00 90.00°
Last column: nearest neighbours and their distance in Å.
Space group Pm-3m (No. 221)
Symmetry-distinct sites (fractional):
Y: 0.0000 0.0000 0.0000  12 Ga 3.16
Ga: 0.0000 0.5000 0.5000  2 N 2.24
N: 0.5000 0.5000 0.5000  6 Ga 2.24

Output
Polymorph energy (0 for the lowest one)   0 meV per atom
Crystal system   cubic
Raw formation energy   0.21 eV per atom

Values for uncorrected energy, eV per atom, ordered as above
-2.6553 -5.5774 -5.1639 -3.4697 -2.8997 -7.0257 -4.4093 -5.1262 -4.0878 -3.4522 -2.9148 -4.7497 -4.2137 -2.7664 -6.4878 -4.5005 -4.7497 -5.9653 -2.1608 -3.6378 -8.1658 -3.9946 -4.2179 -9.2551 -4.5604
Values for calculated density, g cm⁻³, ordered as above
4.19 6.33 5.45 3.09 10.81 12.90 6.13 6.04 9.30 3.81 7.83 5.21 8.42 11.31 6.94 4.93 9.26 5.52 5.36 5.54 13.86 8.67 3.92 8.65 5.79